CoSiNF2 | PBE with a Hubbard U | relaxed

Cell: 3.938 3.938 3.366 Å, 90.00 90.00 90.00°
Fractional positions:
Co 0.000 0.000 0.000
Si 0.500 0.500 0.500
N 0.500 0.500 0.000
F 0.000 0.500 0.500
F 0.500 0.000 0.500

Computed properties:
Its electronic total energy is -5.324 eV per atom. The calculation puts the density of states at the Fermi level at 0.475 states/eV per atom. As for the space group: P4/mmm, No. 123.

***

CoSiN2F | PBE with a Hubbard U | relaxed

Cell: 3.612 3.612 3.609 Å, 90.00 90.00 90.00°
Fractional positions:
Co 0.000 0.000 0.000
Si 0.500 0.500 0.500
N 0.000 0.500 0.500
N 0.500 0.000 0.500
F 0.500 0.500 0.000

Computed properties:
Its electronic total energy is -5.989 eV per atom. The calculation puts the density of states at the Fermi level at 0.123 states/eV per atom. As for the space group: P4/mmm, No. 123.

***

TaCoN2F | PBE with a Hubbard U | relaxed

Cell: 4.070 4.070 3.971 Å, 90.00 90.00 90.00°
Fractional positions:
Ta 0.000 0.000 0.000
Co 0.500 0.500 0.500
N 0.000 0.500 0.000
N 0.500 0.000 0.000
F 0.000 0.000 0.500

Computed properties:
Its electronic total energy is -7.435 eV per atom. The calculation puts the density of states at the Fermi level at 0.452 states/eV per atom. As for the space group: P4/mmm, No. 123.

***

TaCoN2F | PBE with a Hubbard U | relaxed

Cell: 3.767 3.767 3.493 Å, 90.00 90.00 90.00°
Fractional positions:
Ta 0.000 0.000 0.000
Co 0.500 0.500 0.500
N 0.000 0.500 0.500
N 0.500 0.000 0.500
F 0.500 0.500 0.000

Computed properties:
Its electronic total energy is -6.773 eV per atom. The calculation puts the density of states at the Fermi level at 0.281 states/eV per atom. As for the space group: P4/mmm, No. 123.

***

Ordered total magnetization results: 2.014 2.501 2.480 0.733; unit μB/f.u..
Ordered E above lowest polymorph results: 0 0 0 662; unit meV/atom.